Computed, not measured: a crystal of Cr3SnMo relaxed with PBEsol at the SCAN level of DFT.

Unit cell a=4.5729 b=4.5729 c=4.5729 alpha=90.00 beta=90.00 gamma=90.00
With the nearest neighbours (Å) after each atom.
Sites, in units of the cell vectors:
Cr  0.0000  0.5000  0.0000  2 Mo 2.29
Cr  0.0000  0.0000  0.5000  2 Mo 2.29
Cr  0.5000  0.0000  0.0000  2 Mo 2.29
Mo  0.0000  0.0000  0.0000  6 Cr 2.29
Sn  0.5000  0.5000  0.5000  12 Cr 3.23

Properties
Formation energy from the elements = 1.1460 eV/atom
Density = 6.44 g cm⁻³
Magnetic moment = 8.3 μB/cell

***

Computed, not measured: a crystal of Sr2CrMo relaxed with PBEsol at the SCAN level of DFT.

Unit cell a=5.2008 b=5.2008 c=5.2008 alpha=60.00 beta=60.00 gamma=60.00
With the nearest neighbours (Å) after each atom.
Sites, in units of the cell vectors:
Cr  0.5000  0.5000  0.5000  4 Mo 3.18, 4 Sr 3.18
Mo  0.2500  0.2500  0.2500  4 Cr 3.18, 4 Sr 3.18
Sr  0.0000  0.0000  0.0000  4 Mo 3.18, 4 Sr 3.18
Sr  0.7500  0.7500  0.7500  4 Sr 3.18, 4 Cr 3.18

Properties
Formation energy from the elements = 0.8711 eV/atom
Density = 5.40 g cm⁻³
Magnetic moment = 1.6 μB/cell

***

Computed, not measured: a crystal of SrCr2Mo relaxed with PBEsol at the SCAN level of DFT.

Unit cell a=2.9731 b=2.9731 c=7.9126 alpha=90.00 beta=90.00 gamma=90.00
With the nearest neighbours (Å) after each atom.
Sites, in units of the cell vectors:
Cr  0.0000  0.0000  0.0821  4 Cr 2.43, 1 Mo 2.70
Cr  0.5000  0.5000  0.2366  4 Cr 2.43, 4 Mo 2.57
Mo  0.0000  0.0000  0.4232  5 Cr 2.57-2.70
Sr  0.5000  0.5000  0.7581  4 Sr 2.97, 4 Cr 3.32

Properties
Energy above the most stable polymorph in this dataset = 0.00 eV per formula unit
Formation energy from the elements = 0.7144 eV/atom
Density = 6.83 g cm⁻³
Magnetic moment = 2.1 μB/cell

***

Computed, not measured: a crystal of SrCr2Mo relaxed with PBEsol at the SCAN level of DFT.

Unit cell a=3.3338 b=3.3345 c=6.9566 alpha=90.00 beta=90.00 gamma=90.00
With the nearest neighbours (Å) after each atom.
Sites, in units of the cell vectors:
Cr  0.0000  0.0000  0.8560  1 Cr 2.00
Cr  0.0000  0.0000  0.1440  1 Cr 2.00
Mo  0.5000  0.5000  0.0000  8 Cr 2.56
Sr  0.5000  0.5000  0.5000  4 Sr 3.33, 8 Cr 3.42, 2 Mo 3.48

Properties
Energy above the most stable polymorph in this dataset = 0.10 eV per formula unit
Formation energy from the elements = 0.7398 eV/atom
Density = 6.17 g cm⁻³
Magnetic moment = 0.0 μB/cell

***

Computed, not measured: a crystal of SrCr2Mo relaxed with PBEsol at the SCAN level of DFT.

Unit cell a=4.6482 b=4.6482 c=4.6482 alpha=60.00 beta=60.00 gamma=60.00
With the nearest neighbours (Å) after each atom.
Sites, in units of the cell vectors:
Cr  0.2500  0.2500  0.2500  4 Mo 2.85, 4 Sr 2.85
Cr  0.7500  0.7500  0.7500  4 Mo 2.85, 4 Sr 2.85
Mo  0.0000  0.0000  0.0000  8 Cr 2.85
Sr  0.5000  0.5000  0.5000  8 Cr 2.85

Properties
Energy above the most stable polymorph in this dataset = 0.65 eV per formula unit
Formation energy from the elements = 0.8758 eV/atom
Density = 6.72 g cm⁻³
Magnetic moment = 4.8 μB/cell

***

Computed, not measured: a crystal of Sr3CrMo relaxed with PBEsol at the SCAN level of DFT.

Unit cell a=5.8361 b=5.8361 c=5.8361 alpha=90.00 beta=90.00 gamma=90.00
With the nearest neighbours (Å) after each atom.
Sites, in units of the cell vectors:
Sr  0.0000  0.5000  0.0000  2 Cr 2.92
Sr  0.0000  0.0000  0.5000  2 Cr 2.92
Sr  0.5000  0.0000  0.0000  2 Cr 2.92
Mo  0.5000  0.5000  0.5000  12 Sr 4.13
Cr  0.0000  0.0000  0.0000  6 Sr 2.92

Properties
Formation energy from the elements = 1.2435 eV/atom
Density = 3.43 g cm⁻³
Magnetic moment = 9.5 μB/cell

***

Computed, not measured: a crystal of TaCrMo2 relaxed with PBEsol at the SCAN level of DFT.

Unit cell a=3.0958 b=3.0958 c=6.1977 alpha=90.00 beta=90.00 gamma=90.00
With the nearest neighbours (Å) after each atom.
Sites, in units of the cell vectors:
Cr  0.5000  0.5000  0.5000  8 Mo 2.63
Mo  0.0000  0.0000  0.7356  4 Cr 2.63, 4 Ta 2.73, 1 Mo 2.92
Mo  0.0000  0.0000  0.2644  4 Cr 2.63, 4 Ta 2.73, 1 Mo 2.92
Ta  0.5000  0.5000  0.0000  8 Mo 2.73

Properties
Energy above the most stable polymorph in this dataset = 0.11 eV per formula unit
Formation energy from the elements = -0.0245 eV/atom
Density = 11.88 g cm⁻³
Magnetic moment = 0.0 μB/cell

***

Computed, not measured: a crystal of TaCrMo2 relaxed with PBEsol at the SCAN level of DFT.

Unit cell a=3.6502 b=3.6502 c=5.2433 alpha=110.37 beta=110.37 gamma=90.00
With the nearest neighbours (Å) after each atom.
Sites, in units of the cell vectors:
Cr  0.2500  0.7500  0.5000  4 Mo 2.58
Mo  0.0000  0.0000  0.0000  4 Ta 2.58
Mo  0.7500  0.2500  0.5000  4 Cr 2.58
Ta  0.5000  0.5000  0.0000  4 Mo 2.58

Properties
Energy above the most stable polymorph in this dataset = 1.35 eV per formula unit
Formation energy from the elements = 0.2854 eV/atom
Density = 11.60 g cm⁻³
Magnetic moment = 0.0 μB/cell

***

Computed, not measured: a crystal of TaCrMo2 relaxed with PBEsol at the SCAN level of DFT.

Unit cell a=3.1042 b=4.3586 c=4.3913 alpha=90.00 beta=90.00 gamma=90.00
With the nearest neighbours (Å) after each atom.
Sites, in units of the cell vectors:
Cr  0.0000  0.5000  0.5000  4 Ta 2.68, 4 Mo 2.69
Mo  0.0000  0.0000  0.0000  4 Mo 2.68, 4 Ta 2.69
Mo  0.5000  0.5000  0.0000  4 Mo 2.68, 4 Cr 2.69
Ta  0.5000  0.0000  0.5000  4 Cr 2.68, 4 Mo 2.69

Properties
Energy above the most stable polymorph in this dataset = 0.05 eV per formula unit
Formation energy from the elements = -0.0408 eV/atom
Density = 11.87 g cm⁻³
Magnetic moment = 0.4 μB/cell

***

Computed, not measured: a crystal of TaCrMo2 relaxed with PBEsol at the SCAN level of DFT.

Unit cell a=2.7102 b=5.1075 c=5.1239 alpha=116.83 beta=100.13 gamma=100.25
With the nearest neighbours (Å) after each atom.
Sites, in units of the cell vectors:
Cr  0.0000  0.5000  0.0000  2 Ta 2.67, 4 Mo 2.68, 2 Cr 2.71
Mo  0.0000  0.0000  0.5000  4 Mo 2.67-2.71, 2 Cr 2.68, 2 Ta 2.68
Mo  0.5000  0.5000  0.5000  4 Mo 2.67-2.71, 2 Cr 2.68, 2 Ta 2.68
Ta  0.5000  0.0000  0.0000  2 Cr 2.67, 4 Mo 2.68, 2 Ta 2.71

Properties
Energy above the most stable polymorph in this dataset = 0.26 eV per formula unit
Formation energy from the elements = 0.0123 eV/atom
Density = 11.84 g cm⁻³
Magnetic moment = 0.0 μB/cell

***

Computed, not measured: a crystal of TaCrMo relaxed with PBEsol at the SCAN level of DFT.

Unit cell a=3.0727 b=3.0727 c=5.1445 alpha=107.38 beta=107.38 gamma=90.00
With the nearest neighbours (Å) after each atom.
Sites, in units of the cell vectors:
Cr  0.0043  0.0043  0.0085  4 Mo 2.60, 4 Ta 2.67
Mo  0.6580  0.6580  0.3159  4 Cr 2.60, 4 Ta 2.74
Ta  0.3378  0.3378  0.6756  4 Cr 2.67, 5 Mo 2.74-2.99

Properties
Formation energy from the elements = -0.0561 eV/atom
Density = 12.40 g cm⁻³
Magnetic moment = 0.0 μB/cell

***

Computed, not measured: a crystal of TaCrMo2 relaxed with PBEsol at the SCAN level of DFT.

Unit cell a=4.3773 b=4.3773 c=4.3773 alpha=60.00 beta=60.00 gamma=60.00
With the nearest neighbours (Å) after each atom.
Sites, in units of the cell vectors:
Cr  0.5000  0.5000  0.5000  4 Ta 2.68, 4 Mo 2.68
Mo  0.0000  0.0000  0.0000  4 Ta 2.68, 4 Mo 2.68
Mo  0.7500  0.7500  0.7500  4 Mo 2.68, 4 Cr 2.68
Ta  0.2500  0.2500  0.2500  4 Mo 2.68, 4 Cr 2.68

Properties
Energy above the most stable polymorph in this dataset = 0.05 eV per formula unit
Formation energy from the elements = -0.0394 eV/atom
Density = 11.89 g cm⁻³
Magnetic moment = 0.3 μB/cell